# 1
Below is an optimized crystal structure of CaDyCuRh, with properties calculated at the PBE level.

Cell: 6.909 6.909 6.909 Å, 90.00 90.00 90.00°
Space group F-43m (No. 216)
Symmetry-distinct sites (fractional):
1 Ca 0.000 0.000 0.000 (multiplicity 4)
2 Dy 0.000 0.000 0.500 (multiplicity 4)
3 Cu 0.250 0.250 0.250 (multiplicity 4)
4 Rh 0.250 0.250 0.750 (multiplicity 4)

## Properties
Relative energy among the computed polymorphs in meV/atom: 61
Calculated formation energy in meV/atom: -392

# 2
Below is an optimized crystal structure of CaDyCuRh, with properties calculated at the PBE level.

Cell: 4.137 3.896 10.977 Å, 90.00 90.00 90.00°
Space group Amm2 (No. 38)
Symmetry-distinct sites (fractional):
1 Ca 0.000 0.000 0.000 (multiplicity 2)
2 Dy 0.500 0.000 0.282 (multiplicity 2)
3 Cu 0.500 0.000 0.576 (multiplicity 2)
4 Rh 0.000 0.000 0.723 (multiplicity 2)

## Properties
Relative energy among the computed polymorphs in meV/atom: 0
Calculated formation energy in meV/atom: -454

# 3
Below is an optimized crystal structure of Ca3Dy3CuS8, with properties calculated at the PBE level.

Cell: 13.574 7.841 7.932 Å, 90.00 124.79 90.00°
Space group C2/m (No. 12)
Symmetry-distinct sites (fractional):
1 Ca 0.000 0.000 0.000 (multiplicity 2)
2 Ca 0.250 0.250 0.000 (multiplicity 4)
3 Dy 0.000 0.500 0.500 (multiplicity 2)
4 Dy 0.250 0.250 0.500 (multiplicity 4)
5 Cu 0.000 0.000 0.500 (multiplicity 2)
6 S 0.005 0.246 0.268 (multiplicity 8)
7 S 0.240 0.000 0.731 (multiplicity 4)
8 S 0.248 0.500 0.743 (multiplicity 4)

## Properties
Electronic total energy in eV per atom: -5.5954

# 4
Below is an optimized crystal structure of CaDyCu2S4, with properties calculated at the PBE level.

Cell: 6.589 6.589 7.415 Å, 90.00 90.00 90.00°
Space group I-42m (No. 121)
Symmetry-distinct sites (fractional):
1 Ca 0.000 0.000 0.000 (multiplicity 2)
2 Dy 0.000 0.000 0.500 (multiplicity 2)
3 Cu 0.000 0.500 0.250 (multiplicity 4)
4 S 0.224 0.224 0.732 (multiplicity 8)

## Properties
Electronic total energy in eV per atom: -5.0373

- Number 3 is which compound?
  Ca3Dy3CuS8